VASP calculation (PBE) on an optimized crystal structure of K5GaO4.

* raw formation energy: -1407 meV/atom
* raw total energy: -4.242 eV/atom
* symmetry: Pmmn (59)

CIF file:
```
data_K5GaO4
_cell_length_a 6.286
_cell_length_b 8.295
_cell_length_c 7.828
_cell_angle_alpha 90.00
_cell_angle_beta 90.00
_cell_angle_gamma 90.00
_symmetry_space_group_name_H-M 'P 1'
_symmetry_Int_Tables_number 1
loop_
_symmetry_equiv_pos_as_xyz
'x,y,z'
loop_
_atom_site_label
_atom_site_fract_x
_atom_site_fract_y
_atom_site_fract_z
O1 0.624 0.500 0.707
O2 0.957 0.696 0.500
O3 0.957 0.304 0.500
O4 0.376 0.000 0.793
O5 0.043 0.804 0.000
O6 0.043 0.196 0.000
O7 0.376 0.000 0.207
O8 0.624 0.500 0.293
K1 0.737 0.191 0.238
K2 0.737 0.809 0.762
K3 0.263 0.309 0.262
K4 0.737 0.809 0.238
K5 0.263 0.691 0.262
K6 0.153 0.000 0.500
K7 0.263 0.691 0.738
K8 0.737 0.191 0.762
K9 0.263 0.309 0.738
K10 0.847 0.500 0.000
Ga1 0.790 0.500 0.500
Ga2 0.210 0.000 0.000
```

---

VASP calculation (PBE) on an optimized crystal structure of CaYCu2.

* energy of formation from the pure elements: -0.14 eV per atom
* raw total energy: -4.304 eV/atom
* symmetry: P4/mmm (123)

CIF file:
```
data_CaYCu2
_cell_length_a 4.974
_cell_length_b 4.974
_cell_length_c 3.482
_cell_angle_alpha 89.95
_cell_angle_beta 89.95
_cell_angle_gamma 90.02
_symmetry_space_group_name_H-M 'P 1'
_symmetry_Int_Tables_number 1
loop_
_symmetry_equiv_pos_as_xyz
'x,y,z'
loop_
_atom_site_label
_atom_site_fract_x
_atom_site_fract_y
_atom_site_fract_z
Cu1 0.000 0.000 0.000
Cu2 0.500 0.500 0.000
Y1 0.500 0.000 0.500
Ca1 0.000 0.500 0.500
```

---

VASP calculation (PBE) on an optimized crystal structure of In2SiHg.

* raw formation energy: 296 meV/atom
* raw total energy: -2.505 eV/atom
* symmetry: I-4m2 (119)

CIF file:
```
data_In2SiHg
_cell_length_a 6.031
_cell_length_b 6.031
_cell_length_c 6.031
_cell_angle_alpha 138.79
_cell_angle_beta 138.79
_cell_angle_gamma 59.69
_symmetry_space_group_name_H-M 'P 1'
_symmetry_Int_Tables_number 1
loop_
_symmetry_equiv_pos_as_xyz
'x,y,z'
loop_
_atom_site_label
_atom_site_fract_x
_atom_site_fract_y
_atom_site_fract_z
In1 0.250 0.750 0.500
In2 0.000 0.000 0.000
Hg1 0.750 0.250 0.500
Si1 0.500 0.500 0.000
```

---

VASP calculation (PBE) on an optimized crystal structure of NaSn2PtS.

* raw formation energy: 862 meV/atom
* raw total energy: -3.036 eV/atom
* symmetry: P4/mmm (123)

CIF file:
```
data_NaSn2PtS
_cell_length_a 5.408
_cell_length_b 4.515
_cell_length_c 5.408
_cell_angle_alpha 90.00
_cell_angle_beta 90.00
_cell_angle_gamma 90.00
_symmetry_space_group_name_H-M 'P 1'
_symmetry_Int_Tables_number 1
loop_
_symmetry_equiv_pos_as_xyz
'x,y,z'
loop_
_atom_site_label
_atom_site_fract_x
_atom_site_fract_y
_atom_site_fract_z
Na1 0.000 0.000 0.000
Sn1 0.000 0.000 0.500
Sn2 0.500 0.000 0.000
Pt1 0.500 0.500 0.500
S1 0.000 0.500 0.000
```

---

VASP calculation (PBE) on an optimized crystal structure of Te3MoPd.

* raw formation energy: 705 meV/atom
* raw total energy: -4.385 eV/atom
* symmetry: Pm-3m (221)

CIF file:
```
data_Te3MoPd
_cell_length_a 5.263
_cell_length_b 5.263
_cell_length_c 5.263
_cell_angle_alpha 90.00
_cell_angle_beta 90.00
_cell_angle_gamma 90.00
_symmetry_space_group_name_H-M 'P 1'
_symmetry_Int_Tables_number 1
loop_
_symmetry_equiv_pos_as_xyz
'x,y,z'
loop_
_atom_site_label
_atom_site_fract_x
_atom_site_fract_y
_atom_site_fract_z
Te1 0.000 0.500 0.000
Te2 0.000 0.000 0.500
Te3 0.500 0.000 0.000
Pd1 0.500 0.500 0.500
Mo1 0.000 0.000 0.000
```

---

VASP calculation (PBE) on an optimized crystal structure of Sr4AsI5.

* raw formation energy: -1612 meV/atom
* raw total energy: -3.525 eV/atom
* symmetry: C2/m (12)

CIF file:
```
data_Sr4AsI5
_cell_length_a 4.687
_cell_length_b 9.313
_cell_length_c 10.536
_cell_angle_alpha 76.28
_cell_angle_beta 102.85
_cell_angle_gamma 90.00
_symmetry_space_group_name_H-M 'P 1'
_symmetry_Int_Tables_number 1
loop_
_symmetry_equiv_pos_as_xyz
'x,y,z'
loop_
_atom_site_label
_atom_site_fract_x
_atom_site_fract_y
_atom_site_fract_z
I1 0.500 0.500 0.000
I2 0.167 0.659 0.334
I3 0.833 0.341 0.666
I4 0.830 0.844 0.660
I5 0.170 0.156 0.340
Sr1 0.001 0.772 0.002
Sr2 0.655 0.908 0.311
Sr3 0.345 0.092 0.689
Sr4 0.999 0.228 0.998
As1 0.500 0.000 0.000
```

---

VASP calculation (PBE) on an optimized crystal structure of TbNd2O.

* raw formation energy: -1119 meV/atom
* raw total energy: -5.900 eV/atom
* symmetry: R-3m (166)

CIF file:
```
data_TbNd2O
_cell_length_a 3.639
_cell_length_b 3.639
_cell_length_c 9.596
_cell_angle_alpha 79.07
_cell_angle_beta 79.07
_cell_angle_gamma 60.00
_symmetry_space_group_name_H-M 'P 1'
_symmetry_Int_Tables_number 1
loop_
_symmetry_equiv_pos_as_xyz
'x,y,z'
loop_
_atom_site_label
_atom_site_fract_x
_atom_site_fract_y
_atom_site_fract_z
Nd1 0.119 0.119 0.644
Nd2 0.881 0.881 0.356
Tb1 0.000 0.000 0.000
O1 0.500 0.500 0.500
```

---

VASP calculation (PBE) on an optimized crystal structure of Ta2TiTeCl.

* raw formation energy: 652 meV/atom
* raw total energy: -6.666 eV/atom
* symmetry: P4/mmm (123)

CIF file:
```
data_Ta2TiTeCl
_cell_length_a 4.617
_cell_length_b 4.485
_cell_length_c 4.617
_cell_angle_alpha 90.00
_cell_angle_beta 90.00
_cell_angle_gamma 90.00
_symmetry_space_group_name_H-M 'P 1'
_symmetry_Int_Tables_number 1
loop_
_symmetry_equiv_pos_as_xyz
'x,y,z'
loop_
_atom_site_label
_atom_site_fract_x
_atom_site_fract_y
_atom_site_fract_z
Cl1 0.000 0.000 0.000
Ta1 0.500 0.000 0.000
Ta2 0.000 0.000 0.500
Te1 0.500 0.500 0.500
Ti1 0.000 0.500 0.000
```